Record 1
KMg6In4 after structural relaxation. Source: the Alexandria database, functional PBE.

The structure in POSCAR format:
```
KMg6In4
1.0
-4.287 1.326 -1.314
-2.689 -8.022 0.677
-0.442 5.204 6.692
Mg In K
6 4 1
Direct
0.500 0.588 0.794 Mg
0.000 0.532 0.064 Mg
0.000 0.532 0.468 Mg
0.500 0.206 0.794 Mg
0.000 0.936 0.468 Mg
0.500 0.206 0.412 Mg
0.500 0.796 0.204 In
0.500 0.796 0.592 In
0.500 0.408 0.204 In
0.000 0.333 0.667 In
0.000 0.000 0.000 K
```

E_tot: -22.6 eV per formula unit
Density of states at the Fermi level: 0.5521 states/eV/atom

---

Record 2
Sr2TlBi2 after structural relaxation. Source: the Alexandria database, functional PBE.

The structure in POSCAR format:
```
Sr2TlBi2
1.0
-3.093 -1.113 -3.645
-2.896 -6.239 1.058
-9.581 6.186 2.937
Sr Bi Tl
4 4 2
Direct
0.666 0.341 0.326 Sr
0.073 0.758 0.097 Sr
0.927 0.242 0.903 Sr
0.334 0.659 0.674 Sr
0.665 0.778 0.891 Bi
0.915 0.718 0.451 Bi
0.335 0.222 0.109 Bi
0.085 0.282 0.549 Bi
0.391 0.901 0.317 Tl
0.609 0.099 0.683 Tl
```

E_tot: -16.4 eV per formula unit
Relative energy among the computed polymorphs: 0 meV per atom
Density of states at the Fermi level: 0.4296 states/eV/atom